Below is an optimized crystal structure of Na2NiRu, with properties calculated at the PBE level.

```
Na2NiRu
1.0
-3.0913 -0.1790 3.4715
-3.4542 3.1093 0.2012
-4.3768 -1.3275 -0.8492
Ru Na Ni
1 2 1
direct
0.5000 0.5000 0.5000 Ru
0.2500 0.2500 0.2500 Na
0.7500 0.7500 0.7500 Na
0.0000 0.0000 0.0000 Ni
```

## Properties
- M_tot (μB per formula unit) = 2.29
- space group = Fm-3m, No. 225
- polymorph energy (0 for the lowest one) (meV per atom) = 94.7
- DFT formation energy (kJ/mol of formula units) = 444
- DOS at the Fermi energy (states/eV per cell) = 10.82

***

Below is an optimized crystal structure of NaNiRu2, with properties calculated at the PBE level.

```
NaNiRu2
1.0
0.0000 3.0308 3.0308
3.0308 0.0000 3.0308
3.0308 3.0308 0.0000
Ru Na Ni
2 1 1
direct
0.2500 0.2500 0.2500 Ru
0.7500 0.7500 0.7500 Ru
0.0000 0.0000 0.0000 Na
0.5000 0.5000 0.5000 Ni
```

## Properties
- M_tot (μB per formula unit) = 0.00
- space group = Fm-3m, No. 225
- polymorph energy (0 for the lowest one) (meV per atom) = 0.0
- DFT formation energy (kJ/mol of formula units) = 355
- DOS at the Fermi energy (states/eV per cell) = 5.46